(1)
LiCaH2SeF | PBE | relaxed Values from VASP.

* DOS(E_F): 0.00 states/eV/cell
* E: -4.145 eV per atom
* M_tot: 0.000 μB/f.u.
* polymorph energy (0 for the lowest one): 0.058 eV per atom
* mass density: 2.724 g cm⁻³

```
&SYSTEM
  ibrav = 0, nat = 12, ntyp = 5
/
ATOMIC_SPECIES
Li 6.94 Li.upf
Ca 40.08 Ca.upf
H 1.01 H.upf
Se 78.96 Se.upf
F 19.00 F.upf
ATOMIC_POSITIONS angstrom
Li 5.0940 0.0000 6.6535
Li 5.1057 2.1481 2.9513
Ca 2.7875 0.0000 1.7071
Ca 2.7759 2.1481 5.4094
H 2.3847 0.0000 4.1793
H 2.3964 2.1481 0.4771
H 1.6163 0.0000 4.1534
H 1.6280 2.1481 0.4512
Se 5.6084 0.0000 1.7256
Se 5.5967 2.1481 5.4279
F 3.0577 0.0000 6.6458
F 3.0694 2.1481 2.9435
CELL_PARAMETERS angstrom
5.6331 0.0000 0.0000
0.0000 4.2961 0.0000
-0.0233 0.0000 7.4045
```

=====

(2)
LiCaH2SeF | PBE | relaxed Values from VASP.

* DOS(E_F): 0.00 states/eV/cell
* E: -4.186 eV per atom
* M_tot: 0.000 μB/f.u.
* polymorph energy (0 for the lowest one): 0.018 eV per atom
* mass density: 2.554 g cm⁻³

```
&SYSTEM
  ibrav = 0, nat = 12, ntyp = 5
/
ATOMIC_SPECIES
Li 6.94 Li.upf
Ca 40.08 Ca.upf
H 1.01 H.upf
Se 78.96 Se.upf
F 19.00 F.upf
ATOMIC_POSITIONS angstrom
Li -2.1346 0.0000 9.5226
Li -0.3926 2.1119 3.3578
Ca 3.2765 0.0000 0.4690
Ca 1.5345 2.1119 6.6338
H 2.1096 0.0000 4.9104
H 0.3677 2.1119 11.0752
H 1.4615 0.0000 4.5214
H -0.2805 2.1119 10.6862
Se -0.3050 0.0000 7.8435
Se 1.4369 2.1119 1.6787
F -2.0147 0.0000 11.3453
F -0.2728 2.1119 5.1805
CELL_PARAMETERS angstrom
3.6711 0.0000 -0.0004
0.0000 4.2237 0.0000
-3.4839 0.0000 12.3296
```